Record 1
Computed, not measured: a relaxed structure of Li3Np3RhSe8 at the GGA-PBE level of DFT.

* symmetry: C2/m
* calculated volume: 356.9 Å³/cell
* total moment: 3.743 μB per formula unit
* crystal system: monoclinic
* final energy: -95.03 eV for the cell shown
* formation energy (no corrections): -1.02 eV per atom
* density: 6.822 g/cm³

Lattice parameters (Å, degrees): 7.9119 7.8974 8.0197 119.50 90.11 119.95
Site moments in Bohr magnetons follow the coordinates.
Sites, in units of the cell vectors:
Li (0.0000, 0.0000, 0.0000)  -0.01
Li (0.0000, 0.5000, 0.0000)  -0.01
Li (0.5000, 0.5000, 0.0000)  0.01
Np (0.5000, 0.0000, 0.5000)  3.64
Np (0.5000, 0.5000, 0.5000)  3.64
Np (0.0000, 0.5000, 0.5000)  -3.55
Rh (0.0000, 0.0000, 0.5000)  0.06
Se (0.2467, 0.4921, 0.2375)  -0.03
Se (0.7533, 0.5079, 0.7625)  -0.03
Se (0.7670, 0.5344, 0.2597)  0.00
Se (0.2330, 0.4656, 0.7403)  0.00
Se (0.7671, 0.9923, 0.2597)  0.00
Se (0.2329, 0.0077, 0.7403)  0.00
Se (0.2250, 0.9925, 0.2600)  -0.07
Se (0.7750, 0.0075, 0.7400)  -0.07

---

Record 2
Computed, not measured: a relaxed structure of PrErAlAg at the GGA-PBE level of DFT.

* symmetry: P4mm
* calculated volume: 99.8 Å³/cell
* energy of formation: -0.34 eV/atom
* total moment: 0.000 μB per formula unit
* crystal system: tetragonal
* final energy: -17.30 eV for the cell shown
* density: 7.374 g/cm³

Lattice parameters (Å, degrees): 3.6027 3.6027 7.6861 90.00 90.00 90.00
Sites, in units of the cell vectors:
Pr (0.0000, 0.0000, 0.8486)
Er (0.0000, 0.0000, 0.3530)
Al (0.5000, 0.5000, 0.5872)
Ag (0.5000, 0.5000, 0.1392)

---

Record 3
Computed, not measured: a relaxed structure of CeTh2Au at the GGA-PBE level of DFT.

* symmetry: Fm-3m
* calculated volume: 105.9 Å³/cell
* energy of formation: -0.12 eV/atom
* total moment: 0.459 μB per formula unit
* crystal system: cubic
* final energy: -24.55 eV for the cell shown
* density: 12.558 g/cm³

Lattice parameters (Å, degrees): 5.3112 5.3112 5.3112 60.00 60.00 60.00
Site moments in Bohr magnetons follow the coordinates.
Sites, in units of the cell vectors:
Au (0.5000, 0.5000, 0.5000)  0.00
Ce (0.0000, 0.0000, 0.0000)  0.23
Th (0.2500, 0.2500, 0.2500)  0.05
Th (0.7500, 0.7500, 0.7500)  0.05